An optimized crystal structure of Cu3PbI. Source: the Alexandria database, functional PBE.

As for the density of states at the Fermi level: 6.8 states/eV per cell. The uncorrected energy comes out at -2.68 eV/atom.

a = 5.086 Å, b = 5.086 Å, c = 5.086 Å
α = 90.00°, β = 90.00°, γ = 90.00°
Fractional coordinates of all 5 atoms:
Cu: 0.000 0.000 0.500
Cu: 0.000 0.500 0.000
Cu: 0.500 0.000 0.000
Pb: 0.000 0.000 0.000
I: 0.500 0.500 0.500